Entry w
A relaxed structure of SrTc5, computed with GGA-PBE.

Calculated values
* spin magnetization: 0.00 μB/atom

```
data_SrTc5
_cell_length_a 4.248
_cell_length_b 2.844
_cell_length_c 18.128
_cell_angle_alpha 90.00
_cell_angle_beta 90.00
_cell_angle_gamma 90.00
_space_group_name_H-M_alt 'A m m 2'
_space_group_IT_number 38
loop_
_space_group_symop_operation_xyz
'x,y,z'
'-x,-y,z'
'-x,y,z'
'x,-y,z'
'x,y+1/2,z+1/2'
'-x,-y+1/2,z+1/2'
'-x,y+1/2,z+1/2'
'x,-y+1/2,z+1/2'
loop_
_atom_site_label
_atom_site_type_symbol
_atom_site_fract_x
_atom_site_fract_y
_atom_site_fract_z
_atom_site_occupancy
Sr1 Sr 0.000 0.000 0.000 1
Tc1 Tc 0.000 0.000 0.321 1
Tc2 Tc 0.000 0.000 0.689 1
Tc3 Tc 0.500 0.000 0.238 1
Tc4 Tc 0.500 0.000 0.610 1
Tc5 Tc 0.500 0.000 0.865 1
```


Entry x
A relaxed structure of SrTc5, computed with GGA-PBE.

Calculated values
* spin magnetization: 0.00 μB/atom

```
data_SrTc5
_cell_length_a 10.857
_cell_length_b 2.876
_cell_length_c 6.812
_cell_angle_alpha 90.00
_cell_angle_beta 105.70
_cell_angle_gamma 90.00
_space_group_name_H-M_alt 'C 1 m 1'
_space_group_IT_number 8
loop_
_space_group_symop_operation_xyz
'x,y,z'
'x,-y,z'
'x+1/2,y+1/2,z'
'x+1/2,-y+1/2,z'
loop_
_atom_site_label
_atom_site_type_symbol
_atom_site_fract_x
_atom_site_fract_y
_atom_site_fract_z
_atom_site_occupancy
Sr1 Sr 0.000 0.000 0.000 1
Tc1 Tc 0.008 0.000 0.548 1
Tc2 Tc 0.153 0.500 0.362 1
Tc3 Tc 0.221 0.500 0.895 1
Tc4 Tc 0.297 0.000 0.635 1
Tc5 Tc 0.331 0.000 0.264 1
```


It is entry x that is the least stable of them.


Entry w
A relaxed structure of Sr5Tc, computed with GGA-PBE.

Calculated values
* spin magnetization: 0.29 μB/atom

```
data_Sr5Tc
_cell_length_a 14.205
_cell_length_b 3.887
_cell_length_c 10.278
_cell_angle_alpha 90.00
_cell_angle_beta 113.80
_cell_angle_gamma 90.00
_space_group_name_H-M_alt 'C 1 2/m 1'
_space_group_IT_number 12
loop_
_space_group_symop_operation_xyz
'x,y,z'
'-x,-y,-z'
'-x,y,-z'
'x,-y,z'
'x+1/2,y+1/2,z'
'-x+1/2,-y+1/2,-z'
'-x+1/2,y+1/2,-z'
'x+1/2,-y+1/2,z'
loop_
_atom_site_label
_atom_site_type_symbol
_atom_site_fract_x
_atom_site_fract_y
_atom_site_fract_z
_atom_site_occupancy
Sr1 Sr 0.000 0.000 0.000 1
Sr2 Sr 0.121 0.500 0.378 1
Sr3 Sr 0.164 0.500 0.768 1
Tc1 Tc 0.000 0.000 0.500 1
```


Entry x
A relaxed structure of Sr5Tc, computed with GGA-PBE.

Calculated values
* spin magnetization: 0.32 μB/atom

```
data_Sr5Tc
_cell_length_a 6.208
_cell_length_b 4.038
_cell_length_c 20.361
_cell_angle_alpha 90.00
_cell_angle_beta 90.00
_cell_angle_gamma 90.00
_space_group_name_H-M_alt 'A m m 2'
_space_group_IT_number 38
loop_
_space_group_symop_operation_xyz
'x,y,z'
'-x,-y,z'
'-x,y,z'
'x,-y,z'
'x,y+1/2,z+1/2'
'-x,-y+1/2,z+1/2'
'-x,y+1/2,z+1/2'
'x,-y+1/2,z+1/2'
loop_
_atom_site_label
_atom_site_type_symbol
_atom_site_fract_x
_atom_site_fract_y
_atom_site_fract_z
_atom_site_occupancy
Sr1 Sr 0.000 0.000 0.000 1
Sr2 Sr 0.000 0.000 0.257 1
Sr3 Sr 0.500 0.000 0.091 1
Sr4 Sr 0.500 0.000 0.407 1
Sr5 Sr 0.500 0.000 0.735 1
Tc1 Tc 0.000 0.000 0.632 1
```


It is entry x that is the least stable of them.


Entry w
A relaxed structure of SrTcTe2, computed with GGA-PBE.

Calculated values
* spin magnetization: 0.98 μB/atom

```
data_SrTcTe2
_cell_length_a 4.406
_cell_length_b 4.406
_cell_length_c 11.753
_cell_angle_alpha 90.00
_cell_angle_beta 90.00
_cell_angle_gamma 90.00
_space_group_name_H-M_alt 'I -4 m 2'
_space_group_IT_number 119
_space_group_name_Hall 'I -4 -2'
loop_
_atom_site_label
_atom_site_type_symbol
_atom_site_fract_x
_atom_site_fract_y
_atom_site_fract_z
_atom_site_occupancy
Sr1 Sr 0.000 0.000 0.000 1
Tc1 Tc 0.000 0.500 0.750 1
Te1 Te 0.000 0.000 0.500 1
Te2 Te 0.000 0.500 0.250 1
```


Entry x
A relaxed structure of SrTcTe2, computed with GGA-PBE.

Calculated values
* spin magnetization: 0.22 μB/atom

```
data_SrTcTe2
_cell_length_a 3.671
_cell_length_b 4.009
_cell_length_c 14.566
_cell_angle_alpha 90.00
_cell_angle_beta 90.00
_cell_angle_gamma 90.00
_space_group_name_H-M_alt 'I m m 2'
_space_group_IT_number 44
loop_
_space_group_symop_operation_xyz
'x,y,z'
'-x,-y,z'
'-x,y,z'
'x,-y,z'
'x+1/2,y+1/2,z+1/2'
'-x+1/2,-y+1/2,z+1/2'
'-x+1/2,y+1/2,z+1/2'
'x+1/2,-y+1/2,z+1/2'
loop_
_atom_site_label
_atom_site_type_symbol
_atom_site_fract_x
_atom_site_fract_y
_atom_site_fract_z
_atom_site_occupancy
Sr1 Sr 0.000 0.000 0.000 1
Tc1 Tc 0.000 0.500 0.743 1
Te1 Te 0.000 0.000 0.379 1
Te2 Te 0.000 0.500 0.175 1
```


Entry y
A relaxed structure of SrTcTe2, computed with GGA-PBE.

Calculated values
* spin magnetization: 0.00 μB/atom

```
data_SrTcTe2
_cell_length_a 4.190
_cell_length_b 4.267
_cell_length_c 6.378
_cell_angle_alpha 90.00
_cell_angle_beta 98.57
_cell_angle_gamma 90.00
_space_group_name_H-M_alt 'P 1 2/m 1'
_space_group_IT_number 10
loop_
_space_group_symop_operation_xyz
'x,y,z'
'-x,-y,-z'
'-x,y,-z'
'x,-y,z'
loop_
_atom_site_label
_atom_site_type_symbol
_atom_site_fract_x
_atom_site_fract_y
_atom_site_fract_z
_atom_site_occupancy
Sr1 Sr 0.000 0.000 0.000 1
Tc1 Tc 0.500 0.000 0.500 1
Te1 Te 0.378 0.500 0.727 1
```


Entry z
A relaxed structure of SrTcTe2, computed with GGA-PBE.

Calculated values
* spin magnetization: 0.92 μB/atom

```
data_SrTcTe2
_cell_length_a 7.628
_cell_length_b 7.628
_cell_length_c 7.628
_cell_angle_alpha 90.00
_cell_angle_beta 90.00
_cell_angle_gamma 90.00
_space_group_name_H-M_alt 'F -4 3 m'
_space_group_IT_number 216
_space_group_name_Hall 'F -4 2 3'
loop_
_atom_site_label
_atom_site_type_symbol
_atom_site_fract_x
_atom_site_fract_y
_atom_site_fract_z
_atom_site_occupancy
Sr1 Sr 0.000 0.000 0.000 1
Tc1 Tc 0.250 0.250 0.750 1
Te1 Te 0.000 0.000 0.500 1
Te2 Te 0.250 0.250 0.250 1
```


It is entry z that is the least stable of them.


Entry w
A relaxed structure of SrTcTe2, computed with GGA-PBE.

Calculated values
* spin magnetization: 0.22 μB/atom

```
data_SrTcTe2
_cell_length_a 4.153
_cell_length_b 6.276
_cell_length_c 8.682
_cell_angle_alpha 90.00
_cell_angle_beta 90.00
_cell_angle_gamma 90.00
_space_group_name_H-M_alt 'I m m m'
_space_group_IT_number 71
_space_group_name_Hall '-I 2 2'
loop_
_atom_site_label
_atom_site_type_symbol
_atom_site_fract_x
_atom_site_fract_y
_atom_site_fract_z
_atom_site_occupancy
Sr1 Sr 0.000 0.000 0.000 1
Tc1 Tc 0.000 0.000 0.500 1
Te1 Te 0.000 0.500 0.194 1
```


Entry x
A relaxed structure of SrTcTe2, computed with GGA-PBE.

Calculated values
* spin magnetization: 0.00 μB/atom

```
data_SrTcTe2
_cell_length_a 4.3320
_cell_length_b 4.3320
_cell_length_c 19.8095
_cell_angle_alpha 90.00
_cell_angle_beta 90.00
_cell_angle_gamma 120.00
_space_group_name_H-M_alt 'R -3 m'
_space_group_IT_number 166
_space_group_name_Hall '-R 3 2"'
loop_
_atom_site_label
_atom_site_type_symbol
_atom_site_fract_x
_atom_site_fract_y
_atom_site_fract_z
_atom_site_occupancy
Sr1 Sr 0.0000 0.0000 0.0000 1
Tc1 Tc 0.0000 0.0000 0.5000 1
Te1 Te 0.0000 0.0000 0.2275 1
```


Entry y
A relaxed structure of SrTcTe2, computed with GGA-PBE.

Calculated values
* spin magnetization: 0.60 μB/atom

```
data_SrTcTe2
_cell_length_a 5.280
_cell_length_b 5.280
_cell_length_c 3.698
_cell_angle_alpha 90.00
_cell_angle_beta 90.00
_cell_angle_gamma 90.00
_space_group_name_H-M_alt 'P 4/m m m'
_space_group_IT_number 123
_space_group_name_Hall '-P 4 2'
loop_
_atom_site_label
_atom_site_type_symbol
_atom_site_fract_x
_atom_site_fract_y
_atom_site_fract_z
_atom_site_occupancy
Sr1 Sr 0.000 0.000 0.000 1
Tc1 Tc 0.500 0.500 0.000 1
Te1 Te 0.000 0.500 0.500 1
```


Entry z
A relaxed structure of SrTcTe2, computed with GGA-PBE.

Calculated values
* spin magnetization: 0.00 μB/atom

```
data_SrTcTe2
_cell_length_a 6.607
_cell_length_b 6.607
_cell_length_c 13.422
_cell_angle_alpha 90.00
_cell_angle_beta 90.00
_cell_angle_gamma 90.00
_space_group_name_H-M_alt 'I -4 2 d'
_space_group_IT_number 122
_space_group_name_Hall 'I -4 2bw'
loop_
_atom_site_label
_atom_site_type_symbol
_atom_site_fract_x
_atom_site_fract_y
_atom_site_fract_z
_atom_site_occupancy
Sr1 Sr 0.000 0.000 0.000 1
Tc1 Tc 0.000 0.000 0.500 1
Te1 Te 0.165 0.250 0.625 1
```


It is entry y that is the least stable of them.